[1]
Ce4IrRhCl2: relaxed, PBE.

Cell and atoms, written as POSCAR:
```
Ce4IrRhCl2
1.0
7.021 0.000 0.000
0.000 4.050 0.000
-2.339 0.000 7.359
Ce Ir Rh Cl
4 1 1 2
Direct
0.236 0.000 0.211
0.262 0.500 0.788
0.738 0.500 0.212
0.764 0.000 0.789
0.000 0.500 0.000
0.500 0.000 0.000
0.000 0.000 0.500
0.500 0.500 0.500
```

## Properties
Its spin magnetization is 3.97 μB per cell. For the calculated density, the calculation gives 7.4 g cm⁻³. The calculation puts the uncorrected formation energy at -9.0 eV/f.u. The calculation puts the energy at -52.6 eV for the cell shown. The volume comes out at 26.2 Å³/atom.



[2]
Ta2CdSi: relaxed, PBE.

Cell and atoms, written as POSCAR:
```
Ta2CdSi
1.0
2.825 0.000 0.000
0.000 2.825 0.000
0.000 0.000 9.180
Ta Cd Si
2 1 1
Direct
0.000 0.000 0.000
0.500 0.500 0.258
0.000 0.000 0.518
0.500 0.500 0.791
```

## Properties
Its spin magnetization is 0.00 μB per cell. For the calculated density, the calculation gives 11.4 g cm⁻³. The calculation puts the uncorrected formation energy at 0.8 eV/f.u. The calculation puts the energy at -29.2 eV for the cell shown. The volume comes out at 18.3 Å³/atom.



[3]
NaCd3Sn3: relaxed, PBE.

Cell and atoms, written as POSCAR:
```
NaCd3Sn3
1.0
8.037 0.000 0.000
0.000 8.037 0.000
0.000 0.000 8.037
Na Cd Sn
2 6 6
Direct
0.000 0.000 0.000
0.500 0.500 0.500
0.000 0.250 0.500
0.000 0.750 0.500
0.250 0.500 0.000
0.500 0.000 0.250
0.500 0.000 0.750
0.750 0.500 0.000
0.000 0.500 0.250
0.000 0.500 0.750
0.250 0.000 0.500
0.500 0.250 0.000
0.500 0.750 0.000
0.750 0.000 0.500
```

## Properties
The energy above the most stable polymorph in this dataset comes out at 0.223 eV per atom. Its formation energy is 1.68 eV/f.u. Its spin magnetization is 0.00 μB per cell. For the calculated density, the calculation gives 4.6 g cm⁻³. The calculation puts the energy at -28.8 eV for the cell shown. The volume comes out at 37.1 Å³/atom.



[4]
FeWBr: relaxed, PBE.

Cell and atoms, written as POSCAR:
```
FeWBr
1.0
2.977 0.000 0.000
0.000 2.977 0.000
0.000 0.000 10.869
Fe W Br
2 2 2
Direct
0.000 0.000 0.000
0.500 0.500 0.500
0.000 0.000 0.369
0.500 0.500 0.869
0.000 0.000 0.691
0.500 0.500 0.191
```

## Properties
The energy above the most stable polymorph in this dataset comes out at 0.166 eV per atom. Its spin magnetization is 1.63 μB per cell. For the calculated density, the calculation gives 11.0 g cm⁻³. The calculation puts the uncorrected formation energy at 2.3 eV/f.u. The calculation puts the energy at -41.5 eV for the cell shown. The volume comes out at 16.1 Å³/atom.



[5]
TiMn2OsC: relaxed, PBE.

Cell and atoms, written as POSCAR:
```
TiMn2OsC
1.0
4.507 0.000 0.000
0.000 4.507 0.000
0.000 0.000 4.498
Ti Mn Os C
1 2 1 1
Direct
0.000 0.000 0.000
0.000 0.500 0.000
0.500 0.000 0.000
0.000 0.000 0.500
0.500 0.500 0.500
```

## Properties
Its formation energy is 12.68 eV/f.u. Its spin magnetization is 6.08 μB per cell. For the calculated density, the calculation gives 6.5 g cm⁻³. The calculation puts the energy at -34.0 eV for the cell shown. The volume comes out at 18.3 Å³/atom.



[6]
AcAl2Pt3: relaxed, PBE.

Cell and atoms, written as POSCAR:
```
AcAl2Pt3
1.0
5.251 -4.121 0.000
5.251 4.121 0.000
0.000 0.000 5.506
Ac Al Pt
2 4 6
Direct
0.181 0.819 0.750
0.819 0.181 0.250
0.296 0.296 0.000
0.296 0.296 0.500
0.704 0.704 0.000
0.704 0.704 0.500
0.021 0.609 0.250
0.391 0.979 0.250
0.442 0.558 0.250
0.558 0.442 0.750
0.609 0.021 0.750
0.979 0.391 0.750
```

## Properties
The energy above the most stable polymorph in this dataset comes out at 0.000 eV per atom. Its formation energy is -6.59 eV/f.u. Its spin magnetization is 0.00 μB per cell. For the calculated density, the calculation gives 12.1 g cm⁻³. The calculation puts the energy at -72.6 eV for the cell shown. The volume comes out at 19.9 Å³/atom.



[7]
CrCdP3: relaxed, PBE.

Cell and atoms, written as POSCAR:
```
CrCdP3
1.0
4.507 0.000 0.000
0.000 4.507 0.000
0.000 0.000 4.507
Cr Cd P
1 1 3
Direct
0.000 0.000 0.000
0.500 0.500 0.500
0.000 0.000 0.500
0.000 0.500 0.000
0.500 0.000 0.000
```

## Properties
The energy above the most stable polymorph in this dataset comes out at 0.000 eV per atom. Its formation energy is 2.03 eV/f.u. Its spin magnetization is 0.00 μB per cell. For the calculated density, the calculation gives 4.7 g cm⁻³. The calculation puts the energy at -24.7 eV for the cell shown. The volume comes out at 18.3 Å³/atom.



[8]
Cs2Tl2Te2Cl: relaxed, PBE.

Cell and atoms, written as POSCAR:
```
Cs2Tl2Te2Cl
1.0
15.348 0.000 0.000
0.000 4.912 0.000
-4.827 0.000 8.831
Cs Tl Te Cl
4 4 4 2
Direct
0.030 0.000 0.283
0.470 0.500 0.717
0.530 0.500 0.283
0.970 0.000 0.717
0.225 0.500 0.830
0.275 0.000 0.170
0.725 0.000 0.830
0.775 0.500 0.170
0.122 0.500 0.072
0.378 0.000 0.928
0.622 0.000 0.072
0.878 0.500 0.928
0.000 0.500 0.500
0.500 0.000 0.500
```

## Properties
Its spin magnetization is 0.00 μB per cell. For the calculated density, the calculation gives 4.8 g cm⁻³. The calculation puts the uncorrected formation energy at -6.1 eV/f.u. The calculation puts the energy at -41.3 eV for the cell shown. The volume comes out at 47.6 Å³/atom.



- Among the records above, which one has the highest spin magnetization?
  TiMn2OsC



Please write out number 3 again, unchanged.
NaCd3Sn3: relaxed, PBE.

Cell and atoms, written as POSCAR:
```
NaCd3Sn3
1.0
8.037 0.000 0.000
0.000 8.037 0.000
0.000 0.000 8.037
Na Cd Sn
2 6 6
Direct
0.000 0.000 0.000
0.500 0.500 0.500
0.000 0.250 0.500
0.000 0.750 0.500
0.250 0.500 0.000
0.500 0.000 0.250
0.500 0.000 0.750
0.750 0.500 0.000
0.000 0.500 0.250
0.000 0.500 0.750
0.250 0.000 0.500
0.500 0.250 0.000
0.500 0.750 0.000
0.750 0.000 0.500
```

## Properties
The energy above the most stable polymorph in this dataset comes out at 0.223 eV per atom. Its formation energy is 1.68 eV/f.u. Its spin magnetization is 0.00 μB per cell. For the calculated density, the calculation gives 4.6 g cm⁻³. The calculation puts the energy at -28.8 eV for the cell shown. The volume comes out at 37.1 Å³/atom.



What did the third record say?
NaCd3Sn3: relaxed, PBE.

Cell and atoms, written as POSCAR:
```
NaCd3Sn3
1.0
8.037 0.000 0.000
0.000 8.037 0.000
0.000 0.000 8.037
Na Cd Sn
2 6 6
Direct
0.000 0.000 0.000
0.500 0.500 0.500
0.000 0.250 0.500
0.000 0.750 0.500
0.250 0.500 0.000
0.500 0.000 0.250
0.500 0.000 0.750
0.750 0.500 0.000
0.000 0.500 0.250
0.000 0.500 0.750
0.250 0.000 0.500
0.500 0.250 0.000
0.500 0.750 0.000
0.750 0.000 0.500
```

## Properties
The energy above the most stable polymorph in this dataset comes out at 0.223 eV per atom. Its formation energy is 1.68 eV/f.u. Its spin magnetization is 0.00 μB per cell. For the calculated density, the calculation gives 4.6 g cm⁻³. The calculation puts the energy at -28.8 eV for the cell shown. The volume comes out at 37.1 Å³/atom.



- Among the records above, which one has the highest calculated density?
  AcAl2Pt3